Entry 1:
This record from OQMD via LeMat-Bulk describes an optimized crystal structure of Dy2YAl3Cu3. The functional is GGA-PBE.

Cell and atoms, written as POSCAR:
```
Dy2YAl3Cu3
1.0
4.003 0.000 0.000
0.000 6.089 3.504
0.000 -6.089 3.504
Al Cu Dy Y
3 3 2 1
Cartesian
2.001 0.000 1.656
2.001 1.438 6.179
2.001 -1.438 6.179
0.000 0.000 0.008
2.001 2.043 3.501
2.001 -2.043 3.501
0.000 2.524 1.453
0.000 -2.524 1.453
0.000 0.000 4.101
```

V: 18.98 Å³ per atom
SG: Amm2, No. 38
Total energy: -4.6838 eV per atom
Crystal system: orthorhombic



Entry 2:
This record from OQMD via LeMat-Bulk describes an optimized crystal structure of DyLuTlTe3. The functional is GGA-PBE.

Cell and atoms, written as POSCAR:
```
DyLuTlTe3
1.0
-7.102 3.205 1.530
4.551 -4.266 -4.913
-3.294 -9.978 5.612
Dy Lu Te Tl
2 2 6 2
Cartesian
-2.875 -2.527 0.140
-2.969 -8.512 2.088
0.000 0.000 0.000
-1.647 -4.989 2.806
-2.987 0.293 -0.660
-7.152 0.215 2.505
-4.484 -4.245 1.892
-1.361 -6.795 0.336
1.308 -11.254 -0.277
-2.858 -11.332 2.888
0.843 -4.911 -1.916
-6.688 -6.128 4.144
```

Energy above the most stable polymorph in this dataset: 0.0222 eV/atom
V: 33.10 Å³ per atom
SG: Cmcm, No. 63
Total energy: -4.4150 eV per atom
Crystal system: orthorhombic



Entry 3:
This record from OQMD via LeMat-Bulk describes an optimized crystal structure of TmPuCd. The functional is GGA-PBE.

Cell and atoms, written as POSCAR:
```
TmPuCd
1.0
0.000 3.518 3.518
3.518 0.000 3.518
3.518 3.518 0.000
Cd Pu Tm
1 1 1
Cartesian
1.759 1.759 1.759
5.277 5.277 5.277
0.000 0.000 0.000
```

Energy above the most stable polymorph in this dataset: 0.0000 eV/atom
E_form: 505.0 meV per atom
V: 29.03 Å³ per atom
SG: F-43m, No. 216
Total energy: -5.9940 eV per atom
Crystal system: cubic



Entry 4:
This record from OQMD via LeMat-Bulk describes an optimized crystal structure of YScAl2Zn2. The functional is GGA-PBE.

Cell and atoms, written as POSCAR:
```
YScAl2Zn2
1.0
8.929 0.000 0.000
0.000 4.453 0.000
-4.432 0.000 12.610
Al Sc Y Zn
8 4 4 8
Cartesian
4.471 2.227 1.583
0.004 2.227 1.641
6.708 0.000 4.750
2.246 0.000 4.772
4.419 2.227 7.828
0.070 2.227 7.848
2.206 0.000 10.966
-2.150 0.000 11.030
4.479 2.227 4.732
0.006 2.227 4.751
2.250 0.000 7.873
0.044 2.227 11.033
6.689 0.000 1.579
2.248 0.000 1.603
-2.223 0.000 7.859
4.483 2.227 11.000
0.006 0.000 0.006
6.708 2.227 3.250
2.241 2.227 3.262
4.418 0.000 6.264
0.076 0.000 6.274
2.194 2.227 9.395
-2.124 2.227 9.486
0.035 0.000 12.533
```

V: 20.89 Å³ per atom
SG: Pm, No. 6
Total energy: -4.1150 eV per atom
Crystal system: monoclinic



Entry 5:
This record from OQMD via LeMat-Bulk describes an optimized crystal structure of ScZnCuBi. The functional is GGA-PBE.

Cell and atoms, written as POSCAR:
```
ScZnCuBi
1.0
0.291 -4.821 -0.057
0.322 -2.449 4.150
-3.728 -2.663 1.528
Bi Cu Sc Zn
1 1 1 1
Cartesian
0.000 0.000 0.000
-0.779 -2.483 1.405
-2.336 -7.449 4.216
-1.557 -4.966 2.811
```

Energy above the most stable polymorph in this dataset: 0.0296 eV/atom
V: 19.91 Å³ per atom
SG: F-43m, No. 216
Total energy: -3.8338 eV per atom
Crystal system: cubic



Entry 6:
This record from OQMD via LeMat-Bulk describes an optimized crystal structure of HfGe2. The functional is GGA-PBE.

Cell and atoms, written as POSCAR:
```
HfGe2
1.0
0.000 3.214 3.214
3.214 0.000 3.214
3.214 3.214 0.000
Ge Hf
2 1
Cartesian
1.607 1.607 1.607
4.821 4.821 4.821
0.000 0.000 0.000
```

V: 22.13 Å³ per atom
SG: Fm-3m, No. 225
Total energy: -6.2869 eV per atom
Crystal system: cubic



Entry 7:
This record from OQMD via LeMat-Bulk describes an optimized crystal structure of YErTc. The functional is GGA-PBE.

Cell and atoms, written as POSCAR:
```
YErTc
1.0
-3.922 -1.756 2.063
-3.724 -1.297 -2.677
-1.090 -4.614 -0.492
Er Tc Y
1 1 1
Cartesian
-2.184 -1.917 -0.277
-6.552 -5.750 -0.830
0.000 0.000 0.000
```

E_form: 1005.7 meV per atom
V: 25.52 Å³ per atom
SG: F-43m, No. 216
Total energy: -6.1240 eV per atom
Crystal system: cubic



Entry 8:
This record from OQMD via LeMat-Bulk describes an optimized crystal structure of HoSiSn. The functional is GGA-PBE.

Cell and atoms, written as POSCAR:
```
HoSiSn
1.0
-1.620 3.589 2.719
0.880 4.535 -1.250
-3.560 2.780 -1.580
Ho Si Sn
1 1 1
Cartesian
-1.075 2.726 -0.028
0.000 0.000 0.000
-3.226 8.178 -0.084
```

Energy above the most stable polymorph in this dataset: 0.0000 eV/atom
V: 25.83 Å³ per atom
SG: F-43m, No. 216
Total energy: -4.7771 eV per atom
Crystal system: cubic